No. 1
First-principles (GGA-PBE) data for a geometry-optimized Y2HoP3 structure, as listed in the Alexandria database.

space-group type: Immm
calculated formation energy: -1624 meV per atom

Cell: 4.008 5.662 6.936 Å, 114.09 106.80 90.00°
Atoms (fractional coordinates):
1 Y 0.833 0.833 0.166
2 Y 0.167 0.167 0.834
3 Ho 0.500 0.500 0.500
4 P 0.834 0.334 0.169
5 P 0.166 0.666 0.831
6 P 0.500 0.000 0.500


No. 2
First-principles (GGA-PBE) data for a geometry-optimized Pm4YCd3 structure, as listed in the Alexandria database.

space-group type: R-3m
calculated formation energy: -181 meV per atom

Cell: 5.451 5.451 9.645 Å, 73.58 73.58 60.00°
Atoms (fractional coordinates):
1 Y 0.000 0.000 0.000
2 Cd 0.259 0.259 0.223
3 Cd 0.741 0.741 0.777
4 Cd 0.500 0.500 0.500
5 Pm 0.871 0.871 0.388
6 Pm 0.383 0.383 0.851
7 Pm 0.129 0.129 0.612
8 Pm 0.617 0.617 0.149


No. 3
First-principles (GGA-PBE) data for a geometry-optimized Ta2AlFe5Si2 structure, as listed in the Alexandria database.

space-group type: P4/mbm
E_form (uncorrected): -3.51 eV per formula unit

Cell: 3.094 9.033 9.033 Å, 90.00 90.00 90.00°
Last column: magnetic moment on the atom in μB.
Atoms (fractional coordinates):
1 Ta 0.000 0.675 0.175  0.02
2 Ta 0.000 0.325 0.825  0.02
3 Ta 0.000 0.175 0.325  0.02
4 Ta 0.000 0.825 0.675  0.02
5 Al 0.000 0.000 0.000  0.00
6 Al 0.000 0.500 0.500  0.00
7 Fe 0.500 0.209 0.065  -0.14
8 Fe 0.500 0.791 0.935  -0.14
9 Fe 0.500 0.065 0.791  -0.14
10 Fe 0.500 0.709 0.435  -0.14
11 Fe 0.500 0.935 0.209  -0.14
12 Fe 0.500 0.291 0.565  -0.14
13 Fe 0.500 0.565 0.709  -0.14
14 Fe 0.500 0.435 0.291  -0.14
15 Fe 0.500 0.500 0.000  0.46
16 Fe 0.500 0.000 0.500  0.46
17 Si 0.000 0.124 0.624  0.00
18 Si 0.000 0.876 0.376  0.00
19 Si 0.000 0.624 0.876  0.00
20 Si 0.000 0.376 0.124  0.00


No. 4
First-principles (GGA-PBE) data for a geometry-optimized Ce6Ni2Ir structure, as listed in the Alexandria database.

space-group type: C2/m
calculated formation energy: -258 meV per atom

Cell: 7.931 8.568 7.931 Å, 95.06 108.63 122.80°
Last column: magnetic moment on the atom in μB.
Atoms (fractional coordinates):
1 Ce 0.523 0.736 0.829  0.04
2 Ce 0.477 0.264 0.171  0.04
3 Ce 0.093 0.264 0.787  0.04
4 Ce 0.907 0.736 0.213  0.04
5 Ce 0.791 0.731 0.581  0.06
6 Ce 0.209 0.269 0.419  0.06
7 Ce 0.149 0.731 0.939  0.06
8 Ce 0.851 0.269 0.061  0.06
9 Ce 0.712 0.361 0.649  0.01
10 Ce 0.288 0.639 0.351  0.01
11 Ce 0.258 0.956 0.698  0.07
12 Ce 0.742 0.044 0.302  0.07
13 Ni 0.528 0.403 0.875  0.00
14 Ni 0.472 0.597 0.125  0.00
15 Ni 0.643 0.000 0.643  0.00
16 Ni 0.357 0.000 0.357  0.00
17 Ir 0.000 0.500 0.500  0.00
18 Ir 0.000 0.000 0.000  -0.01


No. 5
First-principles (GGA-PBE) data for a geometry-optimized ZrRu2Pt structure, as listed in the Alexandria database.

space-group type: R3m
calculated formation energy: -17 meV per atom

Cell: 9.472 9.472 9.472 Å, 17.18 17.18 17.18°
Atoms (fractional coordinates):
1 Pt 0.746 0.746 0.746
2 Ru 0.996 0.996 0.996
3 Ru 0.258 0.258 0.258
4 Zr 0.500 0.500 0.500


No. 6
First-principles (GGA-PBE) data for a geometry-optimized PPtCl2 structure, as listed in the Alexandria database.

E above lowest polymorph: 30.3 kJ/mol of atoms
space-group type: Pm
E_form (uncorrected): -1.04 eV per formula unit

Cell: 3.439 5.030 6.213 Å, 53.00 90.00 90.00°
Atoms (fractional coordinates):
1 Cl 0.000 0.002 0.894
2 Cl 0.500 0.241 0.250
3 P 0.000 0.551 0.604
4 Pt 0.500 0.706 0.752


No. 7
First-principles (GGA-PBE) data for a geometry-optimized Ce2NdSe4 structure, as listed in the Alexandria database.

E above lowest polymorph: 1.0 kJ/mol of atoms
space-group type: Cmcm
E_form (uncorrected): -12.59 eV per formula unit

Cell: 4.094 7.301 14.115 Å, 90.00 90.00 106.28°
Last column: magnetic moment on the atom in μB.
Atoms (fractional coordinates):
1 Ce 0.133 0.266 0.431  1.00
2 Ce 0.867 0.734 0.931  1.00
3 Ce 0.133 0.266 0.069  1.00
4 Ce 0.867 0.734 0.569  1.00
5 Nd 0.623 0.246 0.750  0.04
6 Nd 0.377 0.754 0.250  0.04
7 Se 0.777 0.554 0.124  -0.02
8 Se 0.777 0.554 0.376  -0.02
9 Se 0.223 0.446 0.876  -0.02
10 Se 0.223 0.446 0.624  -0.02
11 Se 0.969 0.938 0.750  -0.01
12 Se 0.031 0.062 0.250  -0.01
13 Se 0.500 0.000 0.000  -0.03
14 Se 0.500 0.000 0.500  -0.03


No. 8
First-principles (GGA-PBE) data for a geometry-optimized Cd4PdAu5 structure, as listed in the Alexandria database.

E above lowest polymorph: 0.0 kJ/mol of atoms
space-group type: P4/mmm
calculated formation energy: -166 meV per atom

Cell: 3.438 3.438 15.986 Å, 90.00 90.00 90.00°
Atoms (fractional coordinates):
1 Cd 0.000 0.000 0.189
2 Cd 0.000 0.000 0.397
3 Cd 0.000 0.000 0.603
4 Cd 0.000 0.000 0.811
5 Pd 0.000 0.000 0.000
6 Au 0.500 0.500 0.092
7 Au 0.500 0.500 0.293
8 Au 0.500 0.500 0.500
9 Au 0.500 0.500 0.707
10 Au 0.500 0.500 0.908


Total magnetic moment (Bohr magnetons per cell)
0.00, 0.22, 0.04, 0.64, 0.00, 0.00, 4.77, 0.00